## NdDy2Rh9 (PBE)

Data for crystalline NdDy2Rh9 at its relaxed geometry.

The structure belongs to space group R-3m (No. 166, hexagonal axes); the cell edges are 5.2881, 5.2881 and 26.2983 Å and the angles 90.00°, 90.00° and 120.00°. The distinct sites, in fractional coordinates, are Nd at (0.0000, 0.0000, 0.0000), Dy at (0.0000, 0.0000, 0.1394), Rh at (0.0000, 0.0000, 0.3330), Rh at (0.0000, 0.0000, 0.5000) and Rh at (0.9996, 0.4998, 0.0831).

The calculation puts the density of states at the Fermi level at 1.133 states/eV per atom. The volume comes out at 17.7 A^3/atom. The value obtained for the energy of formation from the pure elements is -6.7 eV per formula unit. As for the density: 10.915 g/cm3.

## NdDyRh2 (PBE)

Data for crystalline NdDyRh2 at its relaxed geometry.

The structure belongs to space group P4/mmm (No. 123); the cell edges are 4.894, 4.894 and 3.538 Å and the angles 90.00°, 90.00° and 90.00°. The distinct sites, in fractional coordinates, are Nd at (0.000, 0.000, 0.000), Dy at (0.500, 0.500, 0.000) and Rh at (0.000, 0.500, 0.500).

The calculation puts the density of states at the Fermi level at 0.737 states/eV per atom. The volume comes out at 21.2 A^3/atom. The value obtained for the energy of formation from the pure elements is -3.0 eV per formula unit. As for the density: 10.045 g/cm3.

## Nd3DyRh3 (PBE)

Data for crystalline Nd3DyRh3 at its relaxed geometry.

The structure belongs to space group C2/m (No. 12); the cell edges are 9.352, 10.480 and 7.142 Å and the angles 90.00°, 90.68° and 90.00°. The distinct sites, in fractional coordinates, are Nd at (0.000, 0.180, 0.000), Nd at (0.000, 0.252, 0.500), Nd at (0.169, 0.500, 0.877), Dy at (0.240, 0.000, 0.625), Rh at (0.063, 0.000, 0.304) and Rh at (0.246, 0.255, 0.227).

The calculation puts the density of states at the Fermi level at 0.671 states/eV per atom. The volume comes out at 25.0 A^3/atom. The value obtained for the energy of formation from the pure elements is -4.1 eV per formula unit. As for the density: 8.578 g/cm3.